BaSbOsAu2 | GGA-PBE | relaxed

abc: 5.1551 6.7403 5.1551
angles: 90.00 90.00 90.00
Each line ends with the local moment (μB).
Fractional positions:
Au: 0.0000 0.0000 0.5000  -0.02
Au: 0.5000 0.0000 0.0000  0.02
Os: 0.5000 0.5000 0.5000  2.66
Sb: 0.0000 0.0000 0.0000  0.03
Ba: 0.0000 0.5000 0.0000  -0.05

## Properties
raw formation energy = 1.0906 eV per atom

=====

Ba2OsAuSe | GGA-PBE | relaxed

abc: 6.1904 4.6261 6.1904
angles: 90.00 90.00 90.00
Fractional positions:
Se: 0.0000 0.5000 0.0000
Os: 0.0000 0.0000 0.0000
Au: 0.5000 0.5000 0.5000
Ba: 0.0000 0.0000 0.5000
Ba: 0.5000 0.0000 0.0000

## Properties
raw formation energy = -0.2265 eV per atom

=====

Ba2SiOsAu | GGA-PBE | relaxed

abc: 6.2735 4.5314 6.2735
angles: 90.00 90.00 90.00
Each line ends with the local moment (μB).
Fractional positions:
Os: 0.5000 0.5000 0.5000  2.17
Ba: 0.5000 0.0000 0.0000  -0.02
Ba: 0.0000 0.0000 0.5000  -0.03
Si: 0.0000 0.0000 0.0000  0.05
Au: 0.0000 0.5000 0.0000  0.02

## Properties
raw formation energy = 0.7573 eV per atom

=====

Ba2SrOsAu | GGA-PBE | relaxed

abc: 6.2922 5.0395 6.2922
angles: 90.00 90.00 90.00
Fractional positions:
Au: 0.0000 0.0000 0.0000
Ba: 0.5000 0.0000 0.0000
Ba: 0.0000 0.0000 0.5000
Os: 0.0000 0.5000 0.0000
Sr: 0.5000 0.5000 0.5000

## Properties
DFT formation energy = 0.54 eV/atom

=====

Number 1: density 7.82 g cm⁻³. Number 2: density 6.94 g cm⁻³. Number 3: density 6.42 g cm⁻³. Number 4: density 6.24 g cm⁻³.